1.
DFT (PBE) results for an optimized crystal structure of Tl2InBi2.

Cell lengths 5.4105, 6.7207, 10.5844 Å; angles 92.82, 75.19, 66.26 degrees
Atoms (fractional coordinates):
1 Tl 0.6885 0.2871 0.3358
2 Tl 0.9087 0.2509 0.9316
3 Tl 0.3115 0.7129 0.6642
4 Tl 0.0913 0.7491 0.0684
5 In 0.6467 0.0658 0.6408
6 In 0.3533 0.9342 0.3592
7 Bi 0.0372 0.3166 0.6090
8 Bi 0.6600 0.8003 0.8798
9 Bi 0.9628 0.6834 0.3910
10 Bi 0.3400 0.1997 0.1202

Summary:
E above lowest polymorph: 0.000 kcal/mol of atoms
Crystal system: monoclinic
ΔE_f: 0.7 meV/atom
Calculated total energy: -15.23 eV/f.u.
M_tot: 0.0 μB per formula unit

=====

2.
DFT (PBE) results for an optimized crystal structure of Tl2In3Bi3.

Cell lengths 3.5089, 9.2167, 9.2167 Å; angles 120.00, 90.00, 90.00 degrees
Atoms (fractional coordinates):
1 Tl 0.0000 0.6667 0.3333
2 Tl 0.0000 0.3333 0.6667
3 In 0.0000 0.2718 0.2718
4 In 0.0000 0.0000 0.7282
5 In 0.0000 0.7282 0.0000
6 Bi 0.5000 0.6567 0.6567
7 Bi 0.5000 0.0000 0.3433
8 Bi 0.5000 0.3433 0.0000

Summary:
Crystal system: hexagonal
ΔE_f: 60.1 meV/atom
Calculated total energy: -24.11 eV/f.u.
M_tot: 0.0 μB per formula unit

=====

3.
DFT (PBE) results for an optimized crystal structure of Tl2In9Bi.

Cell lengths 4.6739, 4.6739, 15.6030 Å; angles 90.00, 90.00, 90.00 degrees
Atoms (fractional coordinates):
1 Tl 0.0000 0.0000 0.3360
2 Tl 0.0000 0.0000 0.6640
3 In 0.5000 0.5000 0.0000
4 In 0.5000 0.5000 0.3344
5 In 0.5000 0.5000 0.6656
6 In 0.5000 0.0000 0.1679
7 In 0.5000 0.0000 0.5000
8 In 0.5000 0.0000 0.8321
9 In 0.0000 0.5000 0.1679
10 In 0.0000 0.5000 0.5000
11 In 0.0000 0.5000 0.8321
12 Bi 0.0000 0.0000 0.0000

Summary:
Crystal system: tetragonal
ΔE_f: 26.7 meV/atom
Calculated total energy: -32.94 eV/f.u.
M_tot: 0.0 μB per formula unit

=====

4.
DFT (PBE) results for an optimized crystal structure of Tl4In5Bi4.

Cell lengths 6.6745, 6.4519, 10.3781 Å; angles 91.02, 64.27, 89.87 degrees
Atoms (fractional coordinates):
1 Tl 0.7466 0.5298 0.1554
2 Tl 0.2534 0.4702 0.8446
3 Tl 0.9169 0.7885 0.4181
4 Tl 0.0831 0.2115 0.5819
5 In 0.4523 0.9814 0.7276
6 In 0.5477 0.0186 0.2724
7 In 0.0000 0.0000 0.0000
8 In 0.3371 0.7652 0.0887
9 In 0.6629 0.2348 0.9113
10 Bi 0.7912 0.7190 0.7995
11 Bi 0.6779 0.3084 0.4714
12 Bi 0.2088 0.2810 0.2005
13 Bi 0.3221 0.6916 0.5286

Summary:
Crystal system: triclinic
ΔE_f: 5.0 meV/atom
Calculated total energy: -38.62 eV/f.u.
M_tot: 0.0 μB per formula unit

=====

5.
DFT (PBE) results for an optimized crystal structure of Tl5In3Bi3.

Cell lengths 4.4898, 10.0289, 10.0289 Å; angles 120.00, 90.00, 90.00 degrees
Atoms (fractional coordinates):
1 Tl 0.5000 0.6667 0.3333
2 Tl 0.5000 0.3333 0.6667
3 Tl 0.5000 0.3663 0.0000
4 Tl 0.5000 0.6337 0.6337
5 Tl 0.5000 0.0000 0.3663
6 In 0.5000 0.8199 0.0000
7 In 0.5000 0.1801 0.1801
8 In 0.5000 0.0000 0.8199
9 Bi 0.0000 0.6232 0.0000
10 Bi 0.0000 0.0000 0.6232
11 Bi 0.0000 0.3768 0.3768

Summary:
Crystal system: hexagonal
ΔE_f: 129.1 meV/atom
Calculated total energy: -30.27 eV/f.u.
M_tot: 0.0 μB per formula unit

=====

6.
DFT (PBE) results for an optimized crystal structure of Tl3In12Bi5.

Cell lengths 15.5282, 15.5282, 15.5282 Å; angles 109.47, 109.47, 109.47 degrees
Atoms (fractional coordinates):
1 Tl 0.7500 0.3750 0.1250
2 Tl 0.8750 0.7500 0.1250
3 Tl 0.3750 0.7500 0.6250
4 Tl 0.2500 0.1250 0.3750
5 Tl 0.8750 0.1250 0.2500
6 Tl 0.3750 0.6250 0.2500
7 Tl 0.6250 0.3750 0.7500
8 Tl 0.1250 0.8750 0.7500
9 Tl 0.7500 0.8750 0.6250
10 Tl 0.6250 0.2500 0.3750
11 Tl 0.1250 0.2500 0.8750
12 Tl 0.2500 0.6250 0.8750
13 Bi 0.1250 0.3750 0.2500
14 Bi 0.0000 0.5000 0.0000
15 Bi 0.0000 0.0000 0.0000
16 Bi 0.3750 0.2500 0.1250
17 Bi 0.5000 0.0000 0.5000
18 Bi 0.5000 0.5000 0.0000
19 Bi 0.1250 0.7500 0.3750
20 Bi 0.7500 0.1250 0.8750
21 Bi 0.7500 0.6250 0.3750
22 Bi 0.3750 0.1250 0.7500
23 Bi 0.6250 0.8750 0.2500
24 Bi 0.5000 0.5000 0.5000
25 Bi 0.5000 0.0000 0.0000
26 Bi 0.0000 0.0000 0.5000
27 Bi 0.2500 0.3750 0.6250
28 Bi 0.2500 0.8750 0.1250
29 Bi 0.0000 0.5000 0.5000
30 Bi 0.8750 0.2500 0.6250
31 Bi 0.6250 0.7500 0.8750
32 Bi 0.8750 0.6250 0.7500
33 In 0.7347 0.1391 0.0672
34 In 0.3325 0.5672 0.4281
35 In 0.9328 0.3609 0.2653
36 In 0.5672 0.2347 0.1391
37 In 0.5957 0.7347 0.6675
38 In 0.9328 0.5719 0.1675
39 In 0.3325 0.7653 0.4043
40 In 0.0719 0.9043 0.1391
41 In 0.5719 0.9328 0.6675
42 In 0.7347 0.5957 0.1675
43 In 0.7653 0.4328 0.3609
44 In 0.8325 0.9281 0.0672
45 In 0.1391 0.7347 0.5672
46 In 0.3609 0.4281 0.0957
47 In 0.0957 0.9281 0.3609
48 In 0.4043 0.1391 0.5719
49 In 0.0957 0.1675 0.2347
50 In 0.4328 0.6675 0.0719
51 In 0.8325 0.9043 0.2653
52 In 0.1391 0.4043 0.0719
53 In 0.3609 0.9328 0.7653
54 In 0.5719 0.6391 0.4043
55 In 0.9281 0.8325 0.5672
56 In 0.7653 0.3325 0.9043
57 In 0.4281 0.3609 0.5957
58 In 0.0719 0.1675 0.4328
59 In 0.2347 0.6675 0.0957
60 In 0.1675 0.0957 0.7347
61 In 0.6391 0.0672 0.2347
62 In 0.8609 0.5957 0.9281
63 In 0.5672 0.3325 0.9281
64 In 0.5957 0.8609 0.4281
65 In 0.9043 0.8325 0.7653
66 In 0.9043 0.0719 0.6391
67 In 0.8609 0.2653 0.4328
68 In 0.1675 0.0719 0.9328
69 In 0.6391 0.5719 0.9043
70 In 0.4281 0.0672 0.3325
71 In 0.2653 0.4043 0.8325
72 In 0.2347 0.5672 0.6391
73 In 0.9281 0.0957 0.8609
74 In 0.6675 0.2347 0.5957
75 In 0.4328 0.7653 0.8609
76 In 0.0672 0.4281 0.8325
77 In 0.4043 0.2653 0.3325
78 In 0.0672 0.6391 0.7347
79 In 0.6675 0.4328 0.5719
80 In 0.2653 0.8609 0.9328

Summary:
Crystal system: cubic
ΔE_f: 149.1 meV/atom
Calculated total energy: -56.38 eV/f.u.
M_tot: 0.0 μB per formula unit

=====

Which formula does entry 1 have? Tl2InBi2

=====

ΔE_f of number 4 (Tl4In5Bi4)? 5.0 meV/atom

=====

Look up the ΔE_f of the fifth one. 129.1 meV/atom

=====

Which of these has the highest ΔE_f? Tl3In12Bi5